No. 1
DFT (PBE) results for a geometry-optimized CaPm4S4 structure.

abc: 13.357 3.996 9.813
angles: 90.00 119.97 90.00
Space group C2/m (No. 12)
Inequivalent atoms, fractional coordinates:
1 Ca 0.000 0.000 0.000 x2
2 Pm 0.102 0.500 0.399 x4
3 Pm 0.200 0.000 0.795 x4
4 S 0.101 0.500 0.903 x4
5 S 0.198 0.000 0.299 x4

## Properties
magnetization: 0.00 μB per formula unit
formation energy without anion corrections: -1786 meV/atom

---

No. 2
DFT (PBE) results for a geometry-optimized Ac2Ga3Pd4Pb structure.

abc: 4.617 4.617 10.369
angles: 90.00 90.00 90.00
Space group P-4m2 (No. 115)
Inequivalent atoms, fractional coordinates:
1 Ac 0.000 0.500 0.239 x2
2 Ga 0.000 0.500 0.893 x2
3 Ga 0.500 0.500 0.500 x1
4 Pd 0.000 0.000 0.000 x1
5 Pd 0.000 0.500 0.650 x2
6 Pd 0.500 0.500 0.000 x1
7 Pb 0.000 0.000 0.500 x1

## Properties
calculated formation energy: -0.745 eV per atom
magnetization: 0.00 μB per formula unit

---

No. 3
DFT (PBE) results for a geometry-optimized Ce5SbPb2O structure.

abc: 4.725 4.725 11.792
angles: 90.00 90.00 90.00
Space group P4/mmm (No. 123)
Inequivalent atoms, fractional coordinates:
1 Ce 0.000 0.000 0.000 x1
2 Ce 0.000 0.500 0.500 x2
3 Ce 0.500 0.500 0.263 x2
4 Sb 0.500 0.500 0.000 x1
5 Pb 0.000 0.000 0.289 x2
6 O 0.500 0.500 0.500 x1

## Properties
magnetization: 5.34 μB per formula unit
formation energy without anion corrections: -1020 meV/atom

---

No. 4
DFT (PBE) results for a geometry-optimized ThAlTc2H8 structure.

abc: 4.5144 4.5144 6.9305
angles: 90.00 90.00 120.00
Space group P-3m1 (No. 164)
Inequivalent atoms, fractional coordinates:
1 Th 0.0000 0.0000 0.0000 x1
2 Al 0.0000 0.0000 0.5000 x1
3 Tc 0.3333 0.6667 0.3422 x2
4 H 0.1324 0.2648 0.2786 x6
5 H 0.3333 0.6667 0.0924 x2

## Properties
uncorrected energy: -58.0 eV for the cell shown
magnetization: 0.00 μB per formula unit